No. 1
Entry from Alexandria: an optimized crystal structure of Sr2CaHg (PBEsol).

Unit cell a=3.923 b=3.923 c=9.832 alpha=90.00 beta=90.00 gamma=90.00
Atoms (fractional coordinates):
Ca: 0.000 0.000 0.567
Sr: 0.500 0.500 0.266
Sr: 0.000 0.000 0.934
Hg: 0.500 0.500 0.732

Values from the calculation:
The formation enthalpy at 0 K comes out at -28.89 kJ/mol of atoms. The magnetic moment comes out at 0.00 μB per formula unit.

=====

No. 2
Entry from Alexandria: an optimized crystal structure of Sr2CaHg2 (PBEsol).

Unit cell a=4.421 b=8.644 c=8.644 alpha=90.00 beta=90.00 gamma=90.00
Atoms (fractional coordinates):
Sr: 0.500 0.658 0.842
Sr: 0.500 0.842 0.342
Sr: 0.500 0.158 0.658
Sr: 0.500 0.342 0.158
Hg: 0.000 0.640 0.140
Hg: 0.000 0.360 0.860
Hg: 0.000 0.860 0.640
Hg: 0.000 0.140 0.360
Ca: 0.000 0.000 0.000
Ca: 0.000 0.500 0.500

Values from the calculation:
The formation enthalpy at 0 K comes out at -46.52 kJ/mol of atoms. The magnetic moment comes out at 0.00 μB per formula unit.

=====

No. 3
Entry from Alexandria: an optimized crystal structure of SrCa2Hg (PBEsol).

Unit cell a=3.840 b=3.840 c=9.574 alpha=90.00 beta=90.00 gamma=90.00
Atoms (fractional coordinates):
Ca: 0.000 0.000 0.182
Ca: 0.000 0.000 0.818
Hg: 0.500 0.500 0.000
Sr: 0.500 0.500 0.500

Values from the calculation:
The formation enthalpy at 0 K comes out at -29.28 kJ/mol of atoms. The magnetic moment comes out at 0.00 μB per formula unit.

=====

No. 4
Entry from Alexandria: an optimized crystal structure of SrCa2Hg (PBEsol).

Unit cell a=3.889 b=5.934 c=7.055 alpha=114.87 beta=106.00 gamma=90.00
Atoms (fractional coordinates):
Hg: 0.500 0.000 0.000
Ca: 0.801 0.801 0.601
Ca: 0.199 0.199 0.399
Sr: 0.000 0.500 0.000

Values from the calculation:
The formation enthalpy at 0 K comes out at -28.37 kJ/mol of atoms. The magnetic moment comes out at 0.00 μB per formula unit.

=====

No. 5
Entry from Alexandria: an optimized crystal structure of SrCa2Hg (PBEsol).

Unit cell a=3.877 b=3.877 c=9.375 alpha=90.00 beta=90.00 gamma=90.00
Atoms (fractional coordinates):
Ca: 0.500 0.500 0.307
Ca: 0.000 0.000 0.017
Hg: 0.000 0.000 0.482
Sr: 0.500 0.500 0.694

Values from the calculation:
The formation enthalpy at 0 K comes out at -29.65 kJ/mol of atoms. The magnetic moment comes out at 0.00 μB per formula unit.

=====

No. 6
Entry from Alexandria: an optimized crystal structure of SrCa2Hg2 (PBEsol).

Unit cell a=4.921 b=4.921 c=7.532 alpha=109.07 beta=109.07 gamma=90.00
Atoms (fractional coordinates):
Sr: 0.000 0.000 0.000
Ca: 0.250 0.750 0.500
Ca: 0.750 0.250 0.500
Hg: 0.394 0.394 0.789
Hg: 0.606 0.606 0.211

Values from the calculation:
The value obtained for the polymorph energy (0 for the lowest one) is 37 meV/atom. The formation enthalpy at 0 K comes out at -38.99 kJ/mol of atoms. The magnetic moment comes out at 0.00 μB per formula unit.

=====

No. 7
Entry from Alexandria: an optimized crystal structure of SrCa2Hg (PBEsol).

Unit cell a=3.974 b=5.847 c=7.034 alpha=114.56 beta=106.41 gamma=90.00
Atoms (fractional coordinates):
Sr: 0.203 0.703 0.406
Ca: 0.802 0.302 0.604
Ca: 0.001 0.001 0.003
Hg: 0.494 0.494 0.987

Values from the calculation:
The formation enthalpy at 0 K comes out at -22.99 kJ/mol of atoms. The magnetic moment comes out at 0.00 μB per formula unit.

=====

No. 8
Entry from Alexandria: an optimized crystal structure of SrCaHg2 (PBEsol).

Unit cell a=5.396 b=5.396 c=5.396 alpha=60.00 beta=60.00 gamma=60.00
Atoms (fractional coordinates):
Ca: 0.500 0.500 0.500
Hg: 0.750 0.750 0.750
Hg: 0.250 0.250 0.250
Sr: 0.000 0.000 0.000

Values from the calculation:
The value obtained for the polymorph energy (0 for the lowest one) is 6 meV/atom. The formation enthalpy at 0 K comes out at -56.57 kJ/mol of atoms. The magnetic moment comes out at 0.00 μB per formula unit.

=====

No. 9
Entry from Alexandria: an optimized crystal structure of CaTaHg (PBEsol).

Unit cell a=3.136 b=4.934 c=4.934 alpha=120.00 beta=90.00 gamma=90.00
Atoms (fractional coordinates):
Ta: 0.000 0.667 0.333
Ca: 0.500 0.000 0.000
Hg: 0.000 0.333 0.667

Values from the calculation:
The formation enthalpy at 0 K comes out at 45.40 kJ/mol of atoms. The magnetic moment comes out at 0.00 μB per formula unit.

=====

No. 10
Entry from Alexandria: an optimized crystal structure of CaTaHg2 (PBEsol).

Unit cell a=4.157 b=4.157 c=5.731 alpha=111.27 beta=111.27 gamma=90.00
Atoms (fractional coordinates):
Ta: 0.500 0.500 0.000
Hg: 0.750 0.250 0.500
Hg: 0.000 0.000 0.000
Ca: 0.250 0.750 0.500

Values from the calculation:
The formation enthalpy at 0 K comes out at 30.13 kJ/mol of atoms. The magnetic moment comes out at 0.00 μB per formula unit.

=====

No. 11
Entry from Alexandria: an optimized crystal structure of CaTaHg3 (PBEsol).

Unit cell a=5.254 b=5.254 c=5.254 alpha=90.00 beta=90.00 gamma=90.00
Atoms (fractional coordinates):
Ca: 0.500 0.500 0.500
Ta: 0.000 0.000 0.000
Hg: 0.000 0.000 0.500
Hg: 0.500 0.000 0.000
Hg: 0.000 0.500 0.000

Values from the calculation:
The formation enthalpy at 0 K comes out at 41.45 kJ/mol of atoms. The magnetic moment comes out at 0.03 μB per formula unit.

=====

No. 12
Entry from Alexandria: an optimized crystal structure of CaTaTi2Hg (PBEsol).

Unit cell a=4.959 b=4.959 c=5.145 alpha=90.00 beta=90.00 gamma=90.00
Atoms (fractional coordinates):
Ta: 0.500 0.500 0.500
Ti: 0.000 0.500 0.000
Ti: 0.500 0.000 0.000
Hg: 0.000 0.000 0.000
Ca: 0.000 0.000 0.500

Values from the calculation:
The formation enthalpy at 0 K comes out at 140.34 kJ/mol of atoms. The magnetic moment comes out at 1.52 μB per formula unit.

=====

No. 13
Entry from Alexandria: an optimized crystal structure of CaTbHg2 (PBEsol).

Unit cell a=5.196 b=5.196 c=5.196 alpha=60.00 beta=60.00 gamma=60.00
Atoms (fractional coordinates):
Hg: 0.250 0.250 0.250
Hg: 0.750 0.750 0.750
Tb: 0.500 0.500 0.500
Ca: 0.000 0.000 0.000

Values from the calculation:
The formation enthalpy at 0 K comes out at -59.11 kJ/mol of atoms. The magnetic moment comes out at 0.00 μB per formula unit.

=====

No. 14
Entry from Alexandria: an optimized crystal structure of Ca2TcHg (PBEsol).

Unit cell a=4.568 b=5.305 c=4.568 alpha=64.50 beta=90.00 gamma=115.50
Atoms (fractional coordinates):
Ca: 0.750 0.500 0.750
Ca: 0.250 0.500 0.250
Hg: 0.000 0.000 0.000
Tc: 0.500 0.000 0.500

Values from the calculation:
The formation enthalpy at 0 K comes out at 31.10 kJ/mol of atoms. The magnetic moment comes out at 0.83 μB per formula unit.

=====

No. 15
Entry from Alexandria: an optimized crystal structure of CaTlTcHg2 (PBEsol).

Unit cell a=5.396 b=5.396 c=5.679 alpha=90.00 beta=90.00 gamma=90.00
Atoms (fractional coordinates):
Tc: 0.500 0.500 0.500
Hg: 0.500 0.000 0.000
Hg: 0.000 0.500 0.000
Tl: 0.000 0.000 0.500
Ca: 0.000 0.000 0.000

Values from the calculation:
The formation enthalpy at 0 K comes out at 138.66 kJ/mol of atoms. The magnetic moment comes out at 3.54 μB per formula unit.

=====

No. 16
Entry from Alexandria: an optimized crystal structure of CaHg4Te (PBEsol).

Unit cell a=6.026 b=6.026 c=6.026 alpha=60.00 beta=60.00 gamma=60.00
Atoms (fractional coordinates):
Hg: 0.874 0.375 0.375
Hg: 0.375 0.375 0.375
Hg: 0.375 0.874 0.375
Hg: 0.375 0.375 0.874
Ca: 0.000 0.000 0.000
Te: 0.750 0.750 0.750

Values from the calculation:
Its uncorrected formation energy is -261 meV/atom. The magnetic moment comes out at 0.00 μB per formula unit.

=====

No. 17
Entry from Alexandria: an optimized crystal structure of CaHgTe (PBEsol).

Unit cell a=4.158 b=4.158 c=5.658 alpha=111.56 beta=111.56 gamma=90.00
Atoms (fractional coordinates):
Hg: 0.670 0.670 0.340
Ca: 0.992 0.992 0.984
Te: 0.338 0.338 0.676

Values from the calculation:
The value obtained for the polymorph energy (0 for the lowest one) is 37 meV/atom. Its uncorrected formation energy is -823 meV/atom. The magnetic moment comes out at 0.00 μB per formula unit.

=====

No. 18
Entry from Alexandria: an optimized crystal structure of CaHgTe (PBEsol).

Unit cell a=4.519 b=4.519 c=5.086 alpha=90.00 beta=90.00 gamma=120.00
Atoms (fractional coordinates):
Ca: 0.000 0.000 0.003
Te: 0.667 0.333 0.334
Hg: 0.333 0.667 0.663

Values from the calculation:
The value obtained for the polymorph energy (0 for the lowest one) is 0 meV/atom. Its uncorrected formation energy is -860 meV/atom. The magnetic moment comes out at 0.00 μB per formula unit.

=====

No. 19
Entry from Alexandria: an optimized crystal structure of CaHgTe2 (PBEsol).

Unit cell a=4.346 b=4.347 c=6.223 alpha=90.00 beta=90.00 gamma=90.01
Atoms (fractional coordinates):
Te: 0.124 0.875 0.000
Te: 0.626 0.375 0.500
Hg: 0.126 0.875 0.500
Ca: 0.624 0.375 0.000

Values from the calculation:
Its uncorrected formation energy is -792 meV/atom. The magnetic moment comes out at 0.00 μB per formula unit.

=====

No. 20
Entry from Alexandria: an optimized crystal structure of CaTl2Hg (PBEsol).

Unit cell a=4.740 b=4.754 c=5.680 alpha=114.74 beta=114.66 gamma=90.00
Atoms (fractional coordinates):
Hg: 0.250 0.750 0.500
Tl: 0.750 0.250 0.500
Tl: 0.000 0.000 0.000
Ca: 0.500 0.500 0.000

Values from the calculation:
The formation enthalpy at 0 K comes out at -30.48 kJ/mol of atoms. The magnetic moment comes out at 0.00 μB per formula unit.

=====

No. 21
Entry from Alexandria: an optimized crystal structure of CaTl2Hg (PBEsol).

Unit cell a=4.652 b=4.656 c=4.727 alpha=90.00 beta=90.00 gamma=90.00
Atoms (fractional coordinates):
Ca: 0.500 0.000 0.500
Hg: 0.000 0.500 0.500
Tl: 0.000 0.000 0.000
Tl: 0.500 0.500 0.000

Values from the calculation:
The formation enthalpy at 0 K comes out at -31.94 kJ/mol of atoms. The magnetic moment comes out at 0.00 μB per formula unit.

=====

No. 22
Entry from Alexandria: an optimized crystal structure of CaTlHg (PBEsol).

Unit cell a=5.030 b=5.030 c=5.030 alpha=60.00 beta=60.00 gamma=60.00
Atoms (fractional coordinates):
Tl: 0.500 0.500 0.500
Hg: 0.000 0.000 0.000
Ca: 0.750 0.750 0.750

Values from the calculation:
The formation enthalpy at 0 K comes out at -7.91 kJ/mol of atoms. The magnetic moment comes out at 0.00 μB per formula unit.

=====

No. 23
Entry from Alexandria: an optimized crystal structure of CaTlHg2 (PBEsol).

Unit cell a=3.831 b=3.831 c=6.814 alpha=90.00 beta=90.00 gamma=90.00
Atoms (fractional coordinates):
Hg: 0.000 0.000 0.247
Hg: 0.000 0.000 0.753
Ca: 0.500 0.500 0.000
Tl: 0.500 0.500 0.500

Values from the calculation:
The formation enthalpy at 0 K comes out at -35.69 kJ/mol of atoms. The magnetic moment comes out at 0.00 μB per formula unit.

=====

No. 24
Entry from Alexandria: an optimized crystal structure of CaTl2Hg (PBEsol).

Unit cell a=4.586 b=4.586 c=5.936 alpha=112.72 beta=112.72 gamma=90.00
Atoms (fractional coordinates):
Tl: 0.750 0.250 0.500
Tl: 0.250 0.750 0.500
Ca: 0.500 0.500 0.000
Hg: 0.000 0.000 0.000

Values from the calculation:
The formation enthalpy at 0 K comes out at -28.29 kJ/mol of atoms. The magnetic moment comes out at 0.00 μB per formula unit.

=====

No. 25
Entry from Alexandria: an optimized crystal structure of CaTlHg (PBEsol).

Unit cell a=4.948 b=4.948 c=4.948 alpha=60.00 beta=60.00 gamma=60.00
Atoms (fractional coordinates):
Hg: 0.750 0.750 0.750
Tl: 0.000 0.000 0.000
Ca: 0.500 0.500 0.500

Values from the calculation:
The formation enthalpy at 0 K comes out at -35.41 kJ/mol of atoms. The magnetic moment comes out at 0.00 μB per formula unit.

=====

No. 26
Entry from Alexandria: an optimized crystal structure of CaTl2Hg (PBEsol).

Unit cell a=3.764 b=3.764 c=7.399 alpha=90.00 beta=90.00 gamma=90.00
Atoms (fractional coordinates):
Ca: 0.000 0.000 0.517
Hg: 0.500 0.500 0.750
Tl: 0.000 0.000 0.988
Tl: 0.500 0.500 0.245

Values from the calculation:
The formation enthalpy at 0 K comes out at -28.42 kJ/mol of atoms. The magnetic moment comes out at 0.00 μB per formula unit.

=====

No. 27
Entry from Alexandria: an optimized crystal structure of CaTl2Hg (PBEsol).

Unit cell a=3.590 b=5.509 c=6.370 alpha=114.55 beta=104.83 gamma=93.43
Atoms (fractional coordinates):
Ca: 0.500 0.000 0.000
Hg: 0.000 0.500 0.000
Tl: 0.500 0.500 0.500
Tl: 0.000 0.000 0.500

Values from the calculation:
The formation enthalpy at 0 K comes out at -22.80 kJ/mol of atoms. The magnetic moment comes out at 0.00 μB per formula unit.

=====

No. 28
Entry from Alexandria: an optimized crystal structure of CaTl2Hg (PBEsol).

Unit cell a=3.594 b=4.970 c=6.039 alpha=90.00 beta=99.60 gamma=90.00
Atoms (fractional coordinates):
Tl: 0.181 0.000 0.262
Tl: 0.819 0.000 0.738
Hg: 0.000 0.500 0.500
Ca: 0.500 0.500 0.000

Values from the calculation:
The formation enthalpy at 0 K comes out at -24.98 kJ/mol of atoms. The magnetic moment comes out at 0.00 μB per formula unit.

=====

No. 29
Entry from Alexandria: an optimized crystal structure of CaTlHg (PBEsol).

Unit cell a=3.708 b=3.708 c=6.222 alpha=107.40 beta=107.40 gamma=90.07
Atoms (fractional coordinates):
Ca: 0.991 0.991 0.982
Tl: 0.676 0.676 0.353
Hg: 0.333 0.333 0.666

Values from the calculation:
The formation enthalpy at 0 K comes out at -39.85 kJ/mol of atoms. The magnetic moment comes out at 0.00 μB per formula unit.

=====

No. 30
Entry from Alexandria: an optimized crystal structure of CaTlHg (PBEsol).

Unit cell a=3.572 b=4.979 c=4.979 alpha=120.00 beta=90.00 gamma=90.00
Atoms (fractional coordinates):
Hg: 0.000 0.333 0.667
Tl: 0.000 0.667 0.333
Ca: 0.500 0.000 0.000

Values from the calculation:
The formation enthalpy at 0 K comes out at -42.76 kJ/mol of atoms. The magnetic moment comes out at 0.00 μB per formula unit.